LaB2P2 | PBE | optimized geometry

## Properties
DFT total energy: -5.712 eV per atom
Energy of formation: 0.11 eV/atom
Relative energy among the computed polymorphs: 0 meV/atom

Unit cell a=4.3279 b=4.3279 c=7.6560 alpha=90.00 beta=90.00 gamma=90.00
Space group I4/mmm (No. 139)
Unique sites:
La  0.0000  0.0000  0.0000 x2
B  0.0000  0.0000  0.3731 x4
P  0.0000  0.5000  0.2500 x4